[1]
Material: Ta7Al6
Method: DFT, PBE
State: optimized geometry

Cell lengths 9.8347, 9.8347, 9.8347 Å; angles 32.51, 32.51, 32.51 degrees
Last column: nearest neighbours and their distance in Å.
Atoms (fractional coordinates):
Al 0.1670 0.1670 0.1670  6 Ta 2.87-2.89, 3 Al 3.18
Al 0.3471 0.3471 0.3471  1 Al 2.78, 3 Ta 3.08
Al 0.4467 0.4467 0.4467  2 Al 2.78-2.98, 6 Ta 2.90
Al 0.5533 0.5533 0.5533  2 Al 2.78-2.98, 6 Ta 2.90
Al 0.6529 0.6529 0.6529  1 Al 2.78, 3 Ta 3.08
Al 0.8330 0.8330 0.8330  6 Ta 2.87-2.89, 3 Al 3.18
Ta 0.0000 0.0000 0.0000  6 Ta 2.76
Ta 0.5863 0.0858 0.0858  5 Ta 2.75-2.76, 5 Al 2.87-3.08
Ta 0.0858 0.5863 0.0858  5 Ta 2.75-2.76, 5 Al 2.87-3.08
Ta 0.9142 0.9142 0.4137  5 Ta 2.75-2.76, 5 Al 2.87-3.08
Ta 0.0858 0.0858 0.5863  5 Ta 2.75-2.76, 5 Al 2.87-3.08
Ta 0.9142 0.4137 0.9142  5 Ta 2.75-2.76, 5 Al 2.87-3.08
Ta 0.4137 0.9142 0.9142  5 Ta 2.75-2.76, 5 Al 2.87-3.08

Output
- Theoretical density: 9.71 g/cm³
- Polymorph energy (0 for the lowest one): 0.368 eV/atom


[2]
Material: DyHoBr2O2
Method: DFT, PBE
State: optimized geometry

Cell lengths 3.8202, 3.8202, 8.4860 Å; angles 90.00, 90.00, 90.00 degrees
Last column: nearest neighbours and their distance in Å.
Atoms (fractional coordinates):
Br 0.0000 0.0000 0.3265  4 Ho 3.16, 4 O 3.36
Br 0.5000 0.5000 0.6729  4 Dy 3.16, 4 O 3.37
Dy 0.0000 0.0000 0.8658  4 O 2.23
Ho 0.5000 0.5000 0.1333  4 O 2.22
O 0.5000 0.0000 0.0007  2 Ho 2.22, 2 Dy 2.23
O 0.0000 0.5000 0.0007  2 Ho 2.22, 2 Dy 2.23

Output
- Theoretical density: 6.96 g/cm³
- Final energy: -6.668 eV per atom


[3]
Material: NaNbSO
Method: DFT, PBE
State: optimized geometry

Cell lengths 3.1698, 3.1698, 13.2806 Å; angles 90.00, 90.00, 120.00 degrees
Last column: nearest neighbours and their distance in Å.
Atoms (fractional coordinates):
Na 0.0000 0.0000 0.0000  6 S 2.76
Na 0.0000 0.0000 0.5000  6 O 2.47
Nb 0.0000 0.0000 0.2778  3 O 2.24, 3 S 2.45
Nb 0.0000 0.0000 0.7222  3 O 2.24, 3 S 2.45
O 0.3333 0.6667 0.3748  3 Nb 2.24, 3 Na 2.47
O 0.6667 0.3333 0.6252  3 Nb 2.24, 3 Na 2.47
S 0.3333 0.6667 0.1554  3 Nb 2.45
S 0.6667 0.3333 0.8446  3 Nb 2.45

Output
- Theoretical density: 4.71 g/cm³
- Polymorph energy (0 for the lowest one): 0.004 eV/atom


[4]
Material: BaYTe3Au
Method: DFT, PBE
State: optimized geometry

Cell lengths 10.2331, 10.2331, 9.1069 Å; angles 100.17, 100.17, 25.24 degrees
Last column: nearest neighbours and their distance in Å.
Atoms (fractional coordinates):
Au 0.4522 0.4522 0.2904  4 Te 2.77-2.98
Au 0.5478 0.5478 0.7096  4 Te 2.77-2.98
Ba 0.1278 0.1278 0.0803  7 Te 3.37-3.67
Ba 0.8722 0.8722 0.9197  7 Te 3.37-3.67
Te 0.5000 0.5000 0.0000  2 Au 2.97
Te 0.3146 0.3146 0.1689  1 Au 2.77
Te 0.6772 0.6772 0.3687  3 Y 3.07-3.16
Te 0.0000 0.0000 0.5000  4 Au 2.98, 2 Y 3.19
Te 0.3228 0.3228 0.6313  3 Y 3.07-3.16
Te 0.6854 0.6854 0.8311  1 Au 2.77
Y 0.8379 0.8379 0.4090  6 Te 3.07-3.19
Y 0.1621 0.1621 0.5910  6 Te 3.07-3.19

Output
- Theoretical density: 6.69 g/cm³
- Final energy: -4.687 eV per atom


[5]
Material: GaFeCuRe
Method: DFT, PBE
State: optimized geometry

Cell lengths 4.2054, 4.2054, 4.2054 Å; angles 60.00, 60.00, 60.00 degrees
Last column: nearest neighbours and their distance in Å.
Atoms (fractional coordinates):
Cu 0.7500 0.7500 0.7500  4 Ga 2.58, 4 Fe 2.58
Fe 0.5000 0.5000 0.5000  4 Re 2.58, 4 Cu 2.58
Ga 0.0000 0.0000 0.0000  4 Cu 2.58, 4 Re 2.58
Re 0.2500 0.2500 0.2500  4 Fe 2.58, 4 Ga 2.58

Output
- Theoretical density: 11.85 g/cm³
- Polymorph energy (0 for the lowest one): 0.000 eV/atom


[6]
Material: CsTmPO
Method: DFT, PBE
State: optimized geometry

Cell lengths 3.4763, 7.9661, 8.4711 Å; angles 90.00, 90.00, 90.00 degrees
Last column: nearest neighbours and their distance in Å.
Atoms (fractional coordinates):
Cs 0.0000 0.3659 0.0688  2 O 2.97-3.03
Cs 0.0000 0.6341 0.5688  2 O 2.97-3.03
O 0.0000 0.2958 0.4208  2 Tm 2.08
O 0.0000 0.7042 0.9208  2 Tm 2.08
P 0.5000 0.8855 0.2904  2 Tm 2.71
P 0.5000 0.1145 0.7904  2 Tm 2.71
Tm 0.5000 0.1642 0.4741  2 O 2.08
Tm 0.5000 0.8358 0.9741  2 O 2.08

Output
- Theoretical density: 4.94 g/cm³
- Final energy: -5.401 eV per atom